! PBE Na5Tl6Hg2, optimized geometry; values from VASP
! - energy relative to the elements (eV/atom) = -0.1008
! - raw total energy (hartree per atom) = -0.0642
! - ρ (Mg/m³) = 7.682
&SYSTEM
  ibrav = 0, nat = 26, ntyp = 3
/
ATOMIC_SPECIES
Na 22.99 Na.upf
Tl 204.38 Tl.upf
Hg 200.59 Hg.upf
ATOMIC_POSITIONS crystal
Na 0.000 0.000 0.000
Na 0.124 0.444 0.000
Na 0.136 0.741 0.000
Na 0.364 0.241 0.000
Na 0.376 0.944 0.000
Na 0.500 0.500 0.000
Na 0.624 0.056 0.000
Na 0.636 0.759 0.000
Na 0.864 0.259 0.000
Na 0.876 0.556 0.000
Tl 0.113 0.157 0.000
Tl 0.140 0.883 0.500
Tl 0.148 0.589 0.500
Tl 0.352 0.089 0.500
Tl 0.360 0.383 0.500
Tl 0.387 0.657 0.000
Tl 0.613 0.343 0.000
Tl 0.640 0.617 0.500
Tl 0.648 0.911 0.500
Tl 0.852 0.411 0.500
Tl 0.860 0.117 0.500
Tl 0.887 0.843 0.000
Hg 0.103 0.305 0.500
Hg 0.397 0.805 0.500
Hg 0.603 0.195 0.500
Hg 0.897 0.695 0.500
CELL_PARAMETERS angstrom
10.581 0.000 0.000
0.000 20.072 0.000
0.000 0.000 3.547